No. 1
An optimized crystal structure of Y4Tm2Th. Source: the Alexandria database, functional PBE.

Cell lengths 3.595, 3.595, 20.073 Å; angles 95.14, 95.14, 60.01 degrees
Positions (direct):
Y1 0.000 0.000 0.000
Y2 0.427 0.427 0.284
Y3 0.521 0.521 0.565
Y4 0.903 0.903 0.709
Tm1 0.714 0.714 0.142
Tm2 0.807 0.807 0.424
Th1 0.618 0.618 0.854

Calculated values
The crystal system is monoclinic. The value obtained for the density of states at the Fermi level is 12.99 states/eV/cell. The calculation puts the polymorph energy (0 for the lowest one) at 0.00 eV per formula unit. The formation energy comes out at 24.7 meV/atom. As for the volume: 223.49 Å³/cell. The space group is Cm (8).


No. 2
An optimized crystal structure of Y12TmTh5. Source: the Alexandria database, functional PBE.

Cell lengths 6.217, 6.217, 17.419 Å; angles 93.41, 93.41, 119.97 degrees
Positions (direct):
Y1 0.054 0.388 0.163
Y2 0.110 0.110 0.334
Y3 0.219 0.555 0.666
Y4 0.278 0.278 0.838
Y5 0.388 0.054 0.163
Y6 0.445 0.781 0.334
Y7 0.555 0.219 0.666
Y8 0.612 0.946 0.837
Y9 0.722 0.722 0.162
Y10 0.781 0.445 0.334
Y11 0.890 0.890 0.666
Y12 0.946 0.612 0.837
Tm1 0.500 0.500 0.500
Th1 0.000 0.000 0.000
Th2 0.167 0.833 0.500
Th3 0.333 0.667 0.000
Th4 0.667 0.333 0.000
Th5 0.833 0.167 0.500

Calculated values
The crystal system is monoclinic. The value obtained for the density of states at the Fermi level is 25.42 states/eV/cell. The formation energy comes out at 5.9 meV/atom. As for the volume: 579.06 Å³/cell. The space group is C2/m (12).